1.
A relaxed structure of Ta2TlTe. Source: the Alexandria database, functional PBE-GGA. Values from VASP.

Results
The value obtained for the energy relative to the elements, uncorrected is 59.8 kJ/mol of atoms. As for the excess energy over the best structure of this formula in the dataset: 451 meV per atom. Its space group is Immm. As for the crystal system: orthorhombic.

The structure in Quantum ESPRESSO input format:
```
&SYSTEM
  ibrav = 0, nat = 4, ntyp = 3
/
ATOMIC_SPECIES
Ta 180.95 Ta.upf
Te 127.60 Te.upf
Tl 204.38 Tl.upf
ATOMIC_POSITIONS angstrom
Ta -6.2411 -2.1661 6.7451
Ta -3.1741 -1.1016 3.4304
Te 0.3866 -1.2606 3.2757
Tl -1.6666 -2.1400 1.0935
CELL_PARAMETERS angstrom
-1.0852 -0.2098 5.5741
-5.1916 -1.9687 1.2096
4.9968 -1.2221 -2.4145
```



2.
A relaxed structure of BaMnP. Source: the Alexandria database, functional PBE-GGA. Values from VASP.

Results
As for the formation energy from the elements: 0.4 eV per formula unit. Its space group is F-43m. As for the crystal system: cubic.

The structure in Quantum ESPRESSO input format:
```
&SYSTEM
  ibrav = 0, nat = 3, ntyp = 3
/
ATOMIC_SPECIES
Ba 137.33 Ba.upf
Mn 54.94 Mn.upf
P 30.97 P.upf
ATOMIC_POSITIONS angstrom
Ba 4.7627 2.7497 1.9444
Mn 2.3813 1.3749 0.9722
P 0.0000 0.0000 0.0000
CELL_PARAMETERS angstrom
4.7627 0.0000 0.0000
2.3813 4.1246 0.0000
2.3813 1.3749 3.8887
```



3.
A relaxed structure of La2ScIr. Source: the Alexandria database, functional PBE-GGA. Values from VASP.

Results
As for the formation energy from the elements: -1.5 eV per formula unit. As for the excess energy over the best structure of this formula in the dataset: 0 meV per atom. Its space group is Imm2. As for the crystal system: orthorhombic.

The structure in Quantum ESPRESSO input format:
```
&SYSTEM
  ibrav = 0, nat = 4, ntyp = 3
/
ATOMIC_SPECIES
Ir 192.22 Ir.upf
La 138.91 La.upf
Sc 44.96 Sc.upf
ATOMIC_POSITIONS angstrom
Ir 10.6661 3.2162 3.4803
La 2.6774 0.8073 4.5729
La 3.4908 1.0526 1.1940
Sc 6.4216 1.9363 2.6718
CELL_PARAMETERS angstrom
6.4210 0.0232 -0.0260
5.3635 3.5302 -0.0260
2.2317 0.6729 4.7988
```



4.
A relaxed structure of Li2CdPd8. Source: the Alexandria database, functional PBE-GGA. Values from VASP.

Results
As for the formation energy from the elements: -2.8 eV per formula unit. As for the excess energy over the best structure of this formula in the dataset: 0 meV per atom. Its space group is C2/m. As for the crystal system: monoclinic.

The structure in Quantum ESPRESSO input format:
```
&SYSTEM
  ibrav = 0, nat = 11, ntyp = 3
/
ATOMIC_SPECIES
Li 6.94 Li.upf
Cd 112.41 Cd.upf
Pd 106.42 Pd.upf
ATOMIC_POSITIONS angstrom
Li -0.9918 0.9113 4.1343
Li 1.5373 2.1214 3.5377
Cd -0.5422 -1.5111 1.1418
Pd -0.6029 3.5916 4.4672
Pd 2.8556 0.3212 5.1802
Pd 0.7204 1.7654 6.0778
Pd -3.0173 2.4072 5.1524
Pd -0.1749 1.2673 1.5942
Pd -2.3100 2.7116 2.4918
Pd 1.1484 -0.5588 3.2049
Pd 3.5628 0.6255 2.5197
CELL_PARAMETERS angstrom
-1.0843 -3.0222 2.2835
5.5148 0.2983 3.0135
-3.8850 5.7567 2.3750
```



5.
A relaxed structure of PS2ICl. Source: the Alexandria database, functional PBE-GGA. Values from VASP.

Results
The value obtained for the energy relative to the elements, uncorrected is 120.5 kJ/mol of atoms. As for the excess energy over the best structure of this formula in the dataset: 794 meV per atom. Its space group is P4/mmm. As for the crystal system: tetragonal.

The structure in Quantum ESPRESSO input format:
```
&SYSTEM
  ibrav = 0, nat = 5, ntyp = 4
/
ATOMIC_SPECIES
I 126.90 I.upf
P 30.97 P.upf
S 32.06 S.upf
Cl 35.45 Cl.upf
ATOMIC_POSITIONS angstrom
I 0.0000 0.0000 0.0000
P 1.0987 1.2203 2.2940
S -1.2587 -1.6137 1.4612
S -1.9442 1.5926 0.0840
Cl -2.1042 1.1992 3.8393
CELL_PARAMETERS angstrom
-3.8885 3.1852 0.1680
-2.5174 -3.2274 2.9225
2.1974 2.4406 4.5881
```



6.
A relaxed structure of TbEr3Pt2. Source: the Alexandria database, functional PBE-GGA. Values from VASP.

Results
As for the formation energy from the elements: -5.9 eV per formula unit. As for the excess energy over the best structure of this formula in the dataset: 0 meV per atom. Its space group is Pmc2_1. As for the crystal system: orthorhombic.

The structure in Quantum ESPRESSO input format:
```
&SYSTEM
  ibrav = 0, nat = 12, ntyp = 3
/
ATOMIC_SPECIES
Tb 158.93 Tb.upf
Er 167.26 Er.upf
Pt 195.08 Pt.upf
ATOMIC_POSITIONS angstrom
Tb -2.1653 1.8359 6.0523
Tb -0.1083 3.0939 3.0688
Er 0.3960 0.9568 8.6929
Er -4.8464 -3.1930 4.0590
Er -4.1718 0.1776 3.3724
Er 0.5157 3.8237 6.6793
Er -0.7915 -0.2842 3.7397
Er -2.2796 -1.0257 8.0837
Pt -2.5300 1.7888 8.8628
Pt -2.1471 1.5270 1.8760
Pt 0.7695 1.0119 5.9030
Pt -2.8162 -1.6339 5.2308
CELL_PARAMETERS angstrom
-2.7773 3.8392 -0.2961
-5.1575 -3.4634 3.4716
3.1837 2.8903 7.6132
```



7.
A relaxed structure of SrRe3. Source: the Alexandria database, functional PBE-GGA. Values from VASP.

Results
As for the formation energy from the elements: 3.4 eV per formula unit. As for the excess energy over the best structure of this formula in the dataset: 118 meV per atom. Its space group is Pnma. As for the crystal system: orthorhombic.

The structure in Quantum ESPRESSO input format:
```
&SYSTEM
  ibrav = 0, nat = 16, ntyp = 2
/
ATOMIC_SPECIES
Re 186.21 Re.upf
Sr 87.62 Sr.upf
ATOMIC_POSITIONS angstrom
Re 1.0121 4.9510 7.3027
Re 3.9420 2.9592 2.4342
Re 1.9179 2.3143 7.3027
Re 4.8478 0.3225 2.4342
Re 3.7217 1.6167 0.3250
Re 0.7918 1.0201 9.4120
Re 5.0681 4.2534 4.5435
Re 2.1381 3.6568 5.1934
Re 2.1381 3.6568 9.4120
Re 5.0681 4.2534 0.3250
Re 0.7918 1.0201 5.1934
Re 3.7217 1.6167 4.5435
Sr 3.8092 0.0380 7.3027
Sr 0.8793 2.5987 2.4342
Sr 4.9806 2.6747 7.3027
Sr 2.0506 5.2355 2.4342
CELL_PARAMETERS angstrom
5.8599 0.0000 0.0000
0.0000 5.2735 0.0000
0.0000 0.0000 9.7369
```



8.
A relaxed structure of BaU2Ni2Se6. Source: the Alexandria database, functional PBE-GGA. Values from VASP.

Results
The value obtained for the energy relative to the elements, uncorrected is -91.5 kJ/mol of atoms. Its space group is P-1. As for the crystal system: triclinic.

The structure in Quantum ESPRESSO input format:
```
&SYSTEM
  ibrav = 0, nat = 11, ntyp = 4
/
ATOMIC_SPECIES
Ba 137.33 Ba.upf
U 238.03 U.upf
Ni 58.69 Ni.upf
Se 78.96 Se.upf
ATOMIC_POSITIONS angstrom
Ba -2.5013 0.2003 4.6592
U -2.9806 -1.6153 8.5396
U 1.7542 -3.9339 3.0718
Ni 0.9172 -0.8105 6.8073
Ni -2.1435 -4.7387 4.8040
Se 1.6011 -6.6583 3.8145
Se -1.7826 -6.5753 6.1941
Se 1.3618 -2.7831 5.6218
Se 0.5563 1.0261 5.4172
Se -2.5881 -2.7661 5.9896
Se -2.8274 1.1091 7.7968
CELL_PARAMETERS angstrom
-3.2175 -5.1785 4.2833
3.7762 -5.9497 2.2930
-1.7851 5.5790 5.0350
```



9.
A relaxed structure of Na4Bi4Pb3. Source: the Alexandria database, functional PBE-GGA. Values from VASP.

Results
As for the formation energy from the elements: -1.6 eV per formula unit. As for the excess energy over the best structure of this formula in the dataset: 0 meV per atom. Its space group is P-1. As for the crystal system: triclinic.

The structure in Quantum ESPRESSO input format:
```
&SYSTEM
  ibrav = 0, nat = 11, ntyp = 3
/
ATOMIC_SPECIES
Na 22.99 Na.upf
Bi 208.98 Bi.upf
Pb 207.20 Pb.upf
ATOMIC_POSITIONS angstrom
Na 0.2001 -0.8978 3.1097
Na 0.6218 -2.7381 9.4848
Na 0.4703 -5.2328 7.0411
Na 0.8916 -7.0735 13.4165
Bi 0.0594 -3.4260 0.8028
Bi 1.0323 -4.5454 15.7236
Bi 0.6861 -6.1830 10.3216
Bi 0.4058 -1.7880 6.2043
Pb 0.2712 -4.3587 4.0302
Pb 0.8206 -3.6125 12.4959
Pb 1.1837 -2.0618 18.2021
CELL_PARAMETERS angstrom
-3.1141 -2.9631 -0.6398
3.0220 -2.9463 -1.0363
1.1838 -2.0617 18.2021
```



10.
A relaxed structure of Pm2SiSe. Source: the Alexandria database, functional PBE-GGA. Values from VASP.

Results
The value obtained for the energy relative to the elements, uncorrected is -126.1 kJ/mol of atoms. As for the excess energy over the best structure of this formula in the dataset: 12 meV per atom. Its space group is R-3m. As for the crystal system: trigonal.

The structure in Quantum ESPRESSO input format:
```
&SYSTEM
  ibrav = 0, nat = 4, ntyp = 3
/
ATOMIC_SPECIES
Si 28.09 Si.upf
Se 78.96 Se.upf
Pm 145.00 Pm.upf
ATOMIC_POSITIONS angstrom
Si 0.0000 0.0000 0.0000
Se -4.9772 2.7174 1.9349
Pm -7.4701 4.1464 2.9275
Pm -2.4843 1.2884 0.9423
CELL_PARAMETERS angstrom
-3.9719 0.2520 -1.3884
-3.1894 -1.1020 2.5259
-2.7930 6.2848 2.7323
```



11.
A relaxed structure of InS8Cl2. Source: the Alexandria database, functional PBE-GGA. Values from VASP.

Results
The value obtained for the energy relative to the elements, uncorrected is -15.3 kJ/mol of atoms. Its space group is P-1. As for the crystal system: triclinic.

The structure in Quantum ESPRESSO input format:
```
&SYSTEM
  ibrav = 0, nat = 11, ntyp = 3
/
ATOMIC_SPECIES
In 114.82 In.upf
S 32.06 S.upf
Cl 35.45 Cl.upf
ATOMIC_POSITIONS angstrom
In 0.0000 0.0000 0.0000
S -1.3522 2.2844 5.6326
S 3.2540 2.0529 6.2904
S 4.2387 0.5369 3.4578
S -1.7637 6.2769 6.1584
S -0.7790 4.7610 3.3259
S 3.8271 4.5294 3.9836
S -0.1116 4.9593 5.1293
S 2.5865 1.8545 4.4869
Cl 1.7220 1.1251 1.3306
Cl 0.7530 5.6887 8.2856
CELL_PARAMETERS angstrom
6.8612 -2.0323 -0.7452
-1.5339 7.2784 2.5506
-2.8524 1.5677 7.8108
```



12.
A relaxed structure of ScTaMo4. Source: the Alexandria database, functional PBE-GGA. Values from VASP.

Results
As for the formation energy from the elements: -0.2 eV per formula unit. Its space group is F-43m. As for the crystal system: cubic.

The structure in Quantum ESPRESSO input format:
```
&SYSTEM
  ibrav = 0, nat = 6, ntyp = 3
/
ATOMIC_SPECIES
Mo 95.94 Mo.upf
Sc 44.96 Sc.upf
Ta 180.95 Ta.upf
ATOMIC_POSITIONS angstrom
Mo 3.9798 3.8309 2.7089
Mo 6.6353 3.8309 2.7089
Mo 5.3076 1.5312 2.7089
Mo 5.3076 3.0643 0.5406
Sc 2.6538 1.5322 1.0834
Ta 0.0000 0.0000 0.0000
CELL_PARAMETERS angstrom
5.3076 0.0000 0.0000
2.6538 4.5965 0.0000
2.6538 1.5322 4.3336
```



It is found that the electronic total energy values, taken in the order of the records, are -6.6834; -5.3660; -6.6477; -4.4597; -2.1638; -6.0442; -8.9162; -6.1275; -3.0468; -5.9091; -3.7449; -10.2921 eV/atom.
It is found that the mass density values, taken in the order of the records, are 13.6; 4.9; 7.9; 9.7; 3.0; 11.8; 14.3; 6.6; 7.5; 6.1; 2.2; 9.6 g/cm³.
It is found that the spin magnetization values, taken in the order of the records, are 0.00; 4.00; 0.00; 0.00; 1.15; 0.00; 0.00; 1.99; 0.00; 0.00; 0.00; 0.00 μB per formula unit.